[1]
Crystalline Sm5MgCo at its relaxed geometry. Source: Alexandria, functional GGA-PBE.

Summary:
Energy of formation ... 0.267 eV per atom
Calculated volume ... 942 Å³/cell
E_tot ... -4.3471 eV/atom
Magnetic moment ... 0.0 μB/f.u.

```
data_Sm5MgCo
_cell_length_a 12.597
_cell_length_b 8.377
_cell_length_c 10.535
_cell_angle_alpha 90.00
_cell_angle_beta 122.08
_cell_angle_gamma 90.00
_space_group_name_H-M_alt 'C 1 2/c 1'
_space_group_IT_number 15
loop_
_space_group_symop_operation_xyz
'x,y,z'
'-x,-y,-z'
'-x,y,-z+1/2'
'x,-y,z+1/2'
'x+1/2,y+1/2,z'
'-x+1/2,-y+1/2,-z'
'-x+1/2,y+1/2,-z+1/2'
'x+1/2,-y+1/2,z+1/2'
loop_
_atom_site_label
_atom_site_type_symbol
_atom_site_fract_x
_atom_site_fract_y
_atom_site_fract_z
Sm1 Sm 0.000 0.030 0.250
Sm2 Sm 0.043 0.327 0.466
Sm3 Sm 0.237 0.023 0.150
Mg1 Mg 0.000 0.336 0.750
Co1 Co 0.000 0.000 0.000
```

[2]
Crystalline BaSi2W at its relaxed geometry. Source: Alexandria, functional GGA-PBE.

Summary:
Polymorph energy (0 for the lowest one) ... 7.88 kcal/mol of atoms
Calculated volume ... 87 Å³/cell
E_tot ... -6.0861 eV/atom
Uncorrected formation energy ... 133 kJ/mol of formula units
Magnetic moment ... 0.0 μB/f.u.

```
data_BaSi2W
_cell_length_a 3.396
_cell_length_b 3.396
_cell_length_c 7.554
_cell_angle_alpha 90.00
_cell_angle_beta 90.00
_cell_angle_gamma 90.00
_space_group_name_H-M_alt 'P 4 m m'
_space_group_IT_number 99
loop_
_space_group_symop_operation_xyz
'x,y,z'
'-y,x,z'
'-x,-y,z'
'y,-x,z'
'-x,y,z'
'y,x,z'
'x,-y,z'
'-y,-x,z'
loop_
_atom_site_label
_atom_site_type_symbol
_atom_site_fract_x
_atom_site_fract_y
_atom_site_fract_z
Ba1 Ba 0.000 0.000 0.000
Si1 Si 0.000 0.000 0.532
Si2 Si 0.500 0.500 0.328
W1 W 0.500 0.500 0.645
```

[3]
Crystalline LiZn2F6 at its relaxed geometry. Source: Alexandria, functional GGA-PBE.

Summary:
Polymorph energy (0 for the lowest one) ... 0.27 kcal/mol of atoms
Calculated volume ... 300 Å³/cell
E_tot ... -3.9328 eV/atom
Uncorrected formation energy ... -1901 kJ/mol of formula units
Magnetic moment ... 1.0 μB/f.u.

```
data_LiZn2F6
_cell_length_a 8.7075
_cell_length_b 8.7075
_cell_length_c 4.5706
_cell_angle_alpha 90.00
_cell_angle_beta 90.00
_cell_angle_gamma 120.00
_space_group_name_H-M_alt 'P 3 2 1'
_space_group_IT_number 150
loop_
_space_group_symop_operation_xyz
'x,y,z'
'-y,x-y,z'
'-x+y,-x,z'
'y,x,-z'
'x-y,-y,-z'
'-x,-x+y,-z'
loop_
_atom_site_label
_atom_site_type_symbol
_atom_site_fract_x
_atom_site_fract_y
_atom_site_fract_z
Li1 Li 0.0000 0.0000 0.0000
Li2 Li 0.3333 0.6667 0.4902
Zn1 Zn 0.0000 0.3482 0.0000
Zn2 Zn 0.0000 0.6823 0.5000
F1 F 0.1058 0.5622 0.2534
F2 F 0.1071 0.2278 0.2323
F3 F 0.2173 0.4391 0.7287
```

[4]
Crystalline HoTmNi2P2 at its relaxed geometry. Source: Alexandria, functional GGA-PBE.

Summary:
Energy of formation ... -1.220 eV per atom
Calculated volume ... 100 Å³/cell
E_tot ... -6.4582 eV/atom
Magnetic moment ... 0.0 μB/f.u.

```
data_HoTmNi2P2
_cell_length_a 3.8661
_cell_length_b 3.8661
_cell_length_c 7.6875
_cell_angle_alpha 90.00
_cell_angle_beta 90.00
_cell_angle_gamma 120.00
_space_group_name_H-M_alt 'P -3 m 1'
_space_group_IT_number 164
_space_group_name_Hall '-P 3 2"'
loop_
_atom_site_label
_atom_site_type_symbol
_atom_site_fract_x
_atom_site_fract_y
_atom_site_fract_z
Ho1 Ho 0.0000 0.0000 0.0000
Tm1 Tm 0.0000 0.0000 0.5000
Ni1 Ni 0.3333 0.6667 0.7475
P1 P 0.3333 0.6667 0.2520
```

[5]
Crystalline LiSmInCu at its relaxed geometry. Source: Alexandria, functional GGA-PBE.

Summary:
Energy of formation ... -0.359 eV per atom
Calculated volume ... 312 Å³/cell
E_tot ... -3.7260 eV/atom
Magnetic moment ... 0.0 μB/f.u.

```
data_LiSmInCu
_cell_length_a 6.785
_cell_length_b 6.785
_cell_length_c 6.785
_cell_angle_alpha 90.00
_cell_angle_beta 90.00
_cell_angle_gamma 90.00
_space_group_name_H-M_alt 'F -4 3 m'
_space_group_IT_number 216
_space_group_name_Hall 'F -4 2 3'
loop_
_atom_site_label
_atom_site_type_symbol
_atom_site_fract_x
_atom_site_fract_y
_atom_site_fract_z
Li1 Li 0.000 0.000 0.000
Sm1 Sm 0.250 0.250 0.750
In1 In 0.250 0.250 0.250
Cu1 Cu 0.000 0.000 0.500
```

[6]
Crystalline NdReO at its relaxed geometry. Source: Alexandria, functional GGA-PBE.

Summary:
Calculated volume ... 230 Å³/cell
E_tot ... -8.0684 eV/atom
Uncorrected formation energy ... -196 kJ/mol of formula units
Magnetic moment ... 0.0 μB/f.u.

```
data_NdReO
_cell_length_a 11.551
_cell_length_b 3.093
_cell_length_c 8.604
_cell_angle_alpha 90.00
_cell_angle_beta 131.68
_cell_angle_gamma 90.00
_space_group_name_H-M_alt 'C 1 2/m 1'
_space_group_IT_number 12
loop_
_space_group_symop_operation_xyz
'x,y,z'
'-x,-y,-z'
'-x,y,-z'
'x,-y,z'
'x+1/2,y+1/2,z'
'-x+1/2,-y+1/2,-z'
'-x+1/2,y+1/2,-z'
'x+1/2,-y+1/2,z'
loop_
_atom_site_label
_atom_site_type_symbol
_atom_site_fract_x
_atom_site_fract_y
_atom_site_fract_z
Nd1 Nd 0.174 0.000 0.204
Re1 Re 0.012 0.500 0.376
O1 O 0.052 0.500 0.913
```